Record 1
VASP calculation (PBE) on a relaxed Ca2ReSb crystal. Values from VASP.

The structure in Quantum ESPRESSO input format:
```
&SYSTEM
  ibrav = 0, nat = 4, ntyp = 3
/
ATOMIC_SPECIES
Ca 40.08 Ca.upf
Re 186.21 Re.upf
Sb 121.76 Sb.upf
ATOMIC_POSITIONS angstrom
Ca 0.000 0.000 1.585
Ca 0.000 0.000 5.073
Re 1.540 2.257 0.000
Sb 1.540 2.257 3.329
CELL_PARAMETERS angstrom
3.080 0.000 0.000
0.000 4.513 0.000
0.000 0.000 6.657
```

Output
* M_tot: 0.0 μB/f.u.
* crystal system: orthorhombic
* formation energy (no corrections): 0.247 eV/atom



Record 2
VASP calculation (PBE) on a relaxed FeCu2Ag crystal. Values from VASP.

The structure in Quantum ESPRESSO input format:
```
&SYSTEM
  ibrav = 0, nat = 4, ntyp = 3
/
ATOMIC_SPECIES
Fe 55.84 Fe.upf
Cu 63.55 Cu.upf
Ag 107.87 Ag.upf
ATOMIC_POSITIONS angstrom
Fe 0.000 0.000 0.000
Cu 0.000 0.000 3.151
Cu 1.343 1.782 4.427
Ag 1.343 1.782 1.589
CELL_PARAMETERS angstrom
2.687 0.000 0.000
0.000 3.565 0.000
0.000 0.000 5.695
```

Output
* M_tot: 2.9 μB/f.u.
* crystal system: orthorhombic
* formation energy: 0.246 eV/atom
* offset from the most stable computed form: 76.5 meV per atom



Record 3
VASP calculation (PBE) on a relaxed Al2TeAs crystal. Values from VASP.

The structure in Quantum ESPRESSO input format:
```
&SYSTEM
  ibrav = 0, nat = 4, ntyp = 3
/
ATOMIC_SPECIES
Al 26.98 Al.upf
Te 127.60 Te.upf
As 74.92 As.upf
ATOMIC_POSITIONS angstrom
Al 0.000 0.000 0.000
Al 1.539 1.539 1.817
Te 1.539 1.539 7.000
As 0.000 0.000 3.492
CELL_PARAMETERS angstrom
3.077 0.000 0.000
0.000 3.077 0.000
0.000 0.000 9.400
```

Output
* M_tot: 0.0 μB/f.u.
* crystal system: tetragonal
* formation energy (no corrections): 0.131 eV/atom
* offset from the most stable computed form: 380.1 meV per atom



Record 4
VASP calculation (PBE) on a relaxed Ba2InAg2 crystal. Values from VASP.

The structure in Quantum ESPRESSO input format:
```
&SYSTEM
  ibrav = 0, nat = 10, ntyp = 3
/
ATOMIC_SPECIES
Ba 137.33 Ba.upf
In 114.82 In.upf
Ag 107.87 Ag.upf
ATOMIC_POSITIONS angstrom
Ba -1.874 0.000 3.543
Ba 1.769 0.000 1.274
Ba 5.395 0.000 9.420
Ba 9.038 0.000 7.151
In -0.098 0.000 6.705
In 7.262 0.000 3.989
Ag 2.176 0.000 4.759
Ag 5.682 0.000 1.230
Ag 1.482 0.000 9.464
Ag 4.988 0.000 5.935
CELL_PARAMETERS angstrom
6.457 -2.447 0.000
6.457 2.447 0.000
-5.750 0.000 10.694
```

Output
* M_tot: 0.0 μB/f.u.
* crystal system: monoclinic
* formation energy: -0.299 eV/atom



Record 5
VASP calculation (PBE) on a relaxed Mg9Si5 crystal. Values from VASP.

The structure in Quantum ESPRESSO input format:
```
&SYSTEM
  ibrav = 0, nat = 28, ntyp = 2
/
ATOMIC_SPECIES
Mg 24.30 Mg.upf
Si 28.09 Si.upf
ATOMIC_POSITIONS angstrom
Mg 0.000 0.000 0.000
Mg 3.211 6.955 9.625
Mg 3.289 6.018 4.524
Mg 2.008 3.597 8.723
Mg 3.640 4.544 11.817
Mg 3.639 3.918 1.915
Mg 2.607 1.811 4.601
Mg 3.129 0.512 0.028
Mg 5.483 4.145 8.426
Mg 4.384 1.950 10.259
Mg 5.778 4.326 4.171
Mg 4.265 1.028 7.311
Mg 7.744 6.765 2.762
Mg 6.729 4.322 1.064
Mg 6.768 3.884 11.440
Mg 7.949 4.664 6.125
Mg 7.060 1.880 2.701
Mg 7.254 1.721 6.790
Si 3.342 5.566 7.356
Si 1.795 2.142 10.951
Si 5.055 6.279 2.251
Si 5.458 6.080 6.271
Si 5.506 6.324 10.882
Si 5.191 2.099 0.680
Si 5.281 1.757 4.832
Si 7.442 5.840 9.525
Si 8.351 6.228 11.880
Si 8.410 4.119 3.435
CELL_PARAMETERS angstrom
6.896 0.000 0.000
3.298 6.556 0.000
0.194 1.172 13.055
```

Output
* M_tot: 0.0 μB/f.u.
* crystal system: triclinic
* formation energy (no corrections): 0.023 eV/atom
* offset from the most stable computed form: 136.0 meV per atom



Record 6
VASP calculation (PBE) on a relaxed TlCo2Sb crystal. Values from VASP.

The structure in Quantum ESPRESSO input format:
```
&SYSTEM
  ibrav = 0, nat = 4, ntyp = 3
/
ATOMIC_SPECIES
Tl 204.38 Tl.upf
Co 58.93 Co.upf
Sb 121.76 Sb.upf
ATOMIC_POSITIONS angstrom
Tl 0.000 0.000 0.000
Co -0.132 0.000 3.971
Co 4.726 0.000 2.136
Sb 2.297 0.000 3.053
CELL_PARAMETERS angstrom
4.242 -1.545 0.000
4.242 1.545 0.000
-3.889 0.000 6.107
```

Output
* M_tot: 1.5 μB/f.u.
* crystal system: monoclinic
* formation energy (no corrections): 0.337 eV/atom
* offset from the most stable computed form: 85.4 meV per atom



Record 7
VASP calculation (PBE) on a relaxed BaTl2Fe crystal. Values from VASP.

The structure in Quantum ESPRESSO input format:
```
&SYSTEM
  ibrav = 0, nat = 4, ntyp = 3
/
ATOMIC_SPECIES
Ba 137.33 Ba.upf
Tl 204.38 Tl.upf
Fe 55.84 Fe.upf
ATOMIC_POSITIONS angstrom
Ba 0.000 0.000 0.000
Tl 0.007 0.000 4.170
Tl 5.406 0.000 2.328
Fe 2.706 0.000 3.249
CELL_PARAMETERS angstrom
4.049 -2.330 0.000
4.049 2.330 0.000
-2.687 0.000 6.498
```

Output
* M_tot: 3.0 μB/f.u.
* crystal system: monoclinic
* formation energy: 0.155 eV/atom



Record 8
VASP calculation (PBE) on a relaxed YBSb2Te crystal. Values from VASP.

The structure in Quantum ESPRESSO input format:
```
&SYSTEM
  ibrav = 0, nat = 5, ntyp = 4
/
ATOMIC_SPECIES
Y 88.91 Y.upf
B 10.81 B.upf
Sb 121.76 Sb.upf
Te 127.60 Te.upf
ATOMIC_POSITIONS angstrom
Y 0.000 0.000 0.000
B 2.899 2.899 2.899
Sb 0.000 2.899 0.000
Sb 2.899 0.000 0.000
Te 0.000 0.000 2.899
CELL_PARAMETERS angstrom
5.797 0.000 0.000
0.000 5.797 0.000
0.000 0.000 5.797
```

Output
* M_tot: 0.0 μB/f.u.
* crystal system: tetragonal
* formation energy (no corrections): 1.140 eV/atom
* offset from the most stable computed form: 912.0 meV per atom